Entry from the Alexandria database: a relaxed structure of Ca3Al (PBE-GGA).

Computed properties:
* mass density: 1.91 Mg/m³
* density of states at the Fermi level: 8.4 states/eV/cell
* formation enthalpy at 0 K: 0.0267 eV per atom

Lattice parameters (Å, degrees): 6.355 6.355 6.355 90.00 90.00 90.00
Last column: magnetic moment on the atom in μB.
Positions (direct):
1 Ca 0.500 0.000 0.250  0.06
2 Ca 0.250 0.500 0.000  0.06
3 Ca 0.000 0.250 0.500  0.06
4 Ca 0.750 0.500 0.000  0.06
5 Al 0.500 0.500 0.500  -0.01
6 Al 0.000 0.000 0.000  -0.01
7 Ca 0.500 0.000 0.750  0.06
8 Ca 0.000 0.750 0.500  0.06

=====

Entry from the Alexandria database: a relaxed structure of CaAl3 (PBE-GGA).

Computed properties:
* mass density: 2.43 Mg/m³
* density of states at the Fermi level: 2.6 states/eV/cell
* formation enthalpy at 0 K: 0.0010 eV per atom

Lattice parameters (Å, degrees): 5.421 5.421 3.042 90.00 90.00 112.60
Positions (direct):
1 Al 0.500 0.000 0.500
2 Ca 0.000 0.000 0.000
3 Al 0.500 0.500 0.000
4 Al 0.000 0.500 0.500

=====

Which of these has the lowest density of states at the Fermi level?
CaAl3

=====

The highest formation enthalpy at 0 K belongs to which entry?
Ca3Al

=====

Which formula does entry 1 have?
Ca3Al

=====

Look up the density of states at the Fermi level of the second one.
2.6 states/eV/cell